VASP calculation (PBE-GGA) on KTcW2 after structural relaxation.

Geometry as CIF:
```
data_KTcW2
_chemical_formula_sum 'K1 Tc1 W2'
_space_group_name_H-M_alt 'P m m m'
_space_group_IT_number 47
_cell_length_a 2.864
_cell_length_b 3.933
_cell_length_c 8.203
_cell_angle_alpha 90.00
_cell_angle_beta 90.00
_cell_angle_gamma 90.00
loop_
_space_group_symop_operation_xyz
'x,y,z'
'-x,-y,-z'
'-x,-y,z'
'x,y,-z'
'x,-y,-z'
'-x,y,z'
'-x,y,-z'
'x,-y,z'
loop_
_atom_site_label
_atom_site_type_symbol
_atom_site_fract_x
_atom_site_fract_y
_atom_site_fract_z
K1 K 0.000 0.000 0.000
Tc1 Tc 0.000 0.000 0.500
W1 W 0.500 0.500 0.353
```

total energy	-8.3957	eV/atom
energy of formation from the pure elements	0.947	eV per atom
ρ	9073	kg/m3
energy above the most stable polymorph in this dataset	0.1891	eV/atom



VASP calculation (PBE-GGA) on MgCo2Sn2 after structural relaxation.

Geometry as CIF:
```
data_MgCo2Sn2
_chemical_formula_sum 'Mg2 Co4 Sn4'
_space_group_name_H-M_alt 'P 4/m b m'
_space_group_IT_number 127
_space_group_name_Hall '-P 4 2ab'
_cell_length_a 7.124
_cell_length_b 7.124
_cell_length_c 3.274
_cell_angle_alpha 90.00
_cell_angle_beta 90.00
_cell_angle_gamma 90.00
loop_
_atom_site_label
_atom_site_type_symbol
_atom_site_fract_x
_atom_site_fract_y
_atom_site_fract_z
Mg1 Mg 0.000 0.000 0.000
Co1 Co 0.137 0.363 0.000
Sn1 Sn 0.159 0.659 0.500
```

total energy	-4.7889	eV/atom
energy of formation from the pure elements	-0.027	eV per atom
ρ	7586	kg/m3
energy above the most stable polymorph in this dataset	0.0613	eV/atom



VASP calculation (PBE-GGA) on ZnPbCl4 after structural relaxation.

Geometry as CIF:
```
data_ZnPbCl4
_chemical_formula_sum 'Zn4 Pb4 Cl16'
_space_group_name_H-M_alt 'I 41/a m d'
_space_group_IT_number 141
_cell_length_a 9.331
_cell_length_b 9.331
_cell_length_c 8.187
_cell_angle_alpha 90.00
_cell_angle_beta 90.00
_cell_angle_gamma 90.00
loop_
_space_group_symop_operation_xyz
'x,y,z'
'-x,-y,-z'
'-y+1/4,x+3/4,z+1/4'
'y+1/4,-x+3/4,-z+1/4'
'-x+1/2,-y,z+1/2'
'x+1/2,y,-z+1/2'
'y+1/4,-x+1/4,z+3/4'
'-y+1/4,x+1/4,-z+3/4'
'x,-y,-z'
'-x,y,z'
'-y+1/4,-x+1/4,-z+3/4'
'y+1/4,x+1/4,z+3/4'
'-x+1/2,y,-z+1/2'
'x+1/2,-y,z+1/2'
'y+1/4,x+3/4,-z+1/4'
'-y+1/4,-x+3/4,z+1/4'
'x+1/2,y+1/2,z+1/2'
'-x+1/2,-y+1/2,-z+1/2'
'-y+3/4,x+1/4,z+3/4'
'y+3/4,-x+1/4,-z+3/4'
'-x,-y+1/2,z'
'x,y+1/2,-z'
'y+3/4,-x+3/4,z+1/4'
'-y+3/4,x+3/4,-z+1/4'
'x+1/2,-y+1/2,-z+1/2'
'-x+1/2,y+1/2,z+1/2'
'-y+3/4,-x+3/4,-z+1/4'
'y+3/4,x+3/4,z+1/4'
'-x,y+1/2,-z'
'x,-y+1/2,z'
'y+3/4,x+1/4,-z+3/4'
'-y+3/4,-x+1/4,z+3/4'
loop_
_atom_site_label
_atom_site_type_symbol
_atom_site_fract_x
_atom_site_fract_y
_atom_site_fract_z
Zn1 Zn 0.000 0.250 0.375
Pb1 Pb 0.000 0.250 0.875
Cl1 Cl 0.000 0.067 0.189
```

total energy	-3.1941	eV/atom
energy relative to the elements, uncorrected	-1133	meV/atom
ρ	3861	kg/m3
energy above the most stable polymorph in this dataset	0.0000	eV/atom



VASP calculation (PBE-GGA) on ZnIn2BiO6 after structural relaxation.

Geometry as CIF:
```
data_ZnIn2BiO6
_chemical_formula_sum 'Zn3 In6 Bi3 O18'
_space_group_name_H-M_alt 'R 3'
_space_group_IT_number 146
_space_group_name_Hall 'R 3'
_cell_length_a 5.5974
_cell_length_b 5.5974
_cell_length_c 14.8126
_cell_angle_alpha 90.00
_cell_angle_beta 90.00
_cell_angle_gamma 120.00
loop_
_atom_site_label
_atom_site_type_symbol
_atom_site_fract_x
_atom_site_fract_y
_atom_site_fract_z
Zn1 Zn 0.0000 0.0000 0.0000
In1 In 0.0000 0.0000 0.2176
In2 In 0.0000 0.0000 0.7146
Bi1 Bi 0.0000 0.0000 0.5015
O1 O 0.0054 0.7016 0.6107
O2 O 0.0497 0.3732 0.7750
```

total energy	-5.3372	eV/atom
energy relative to the elements, uncorrected	-1299	meV/atom
ρ	7437	kg/m3



VASP calculation (PBE-GGA) on CrReOs2 after structural relaxation.

Geometry as CIF:
```
data_CrReOs2
_chemical_formula_sum 'Cr2 Re2 Os4'
_space_group_name_H-M_alt 'I -4 m 2'
_space_group_IT_number 119
_space_group_name_Hall 'I -4 -2'
_cell_length_a 3.811
_cell_length_b 3.811
_cell_length_c 7.700
_cell_angle_alpha 90.00
_cell_angle_beta 90.00
_cell_angle_gamma 90.00
loop_
_atom_site_label
_atom_site_type_symbol
_atom_site_fract_x
_atom_site_fract_y
_atom_site_fract_z
Cr1 Cr 0.000 0.000 0.000
Re1 Re 0.000 0.500 0.250
Os1 Os 0.000 0.000 0.500
Os2 Os 0.000 0.500 0.750
```

total energy	-11.0384	eV/atom
energy of formation from the pure elements	0.094	eV per atom
ρ	18371	kg/m3
energy above the most stable polymorph in this dataset	0.0197	eV/atom



VASP calculation (PBE-GGA) on YTaBr2 after structural relaxation.

Geometry as CIF:
```
data_YTaBr2
_chemical_formula_sum 'Y2 Ta2 Br4'
_space_group_name_H-M_alt 'C 1 m 1'
_space_group_IT_number 8
_cell_length_a 10.493
_cell_length_b 3.335
_cell_length_c 7.293
_cell_angle_alpha 90.00
_cell_angle_beta 116.61
_cell_angle_gamma 90.00
loop_
_space_group_symop_operation_xyz
'x,y,z'
'x,-y,z'
'x+1/2,y+1/2,z'
'x+1/2,-y+1/2,z'
loop_
_atom_site_label
_atom_site_type_symbol
_atom_site_fract_x
_atom_site_fract_y
_atom_site_fract_z
Y1 Y 0.000 0.000 0.000
Ta1 Ta 0.223 0.000 0.799
Br1 Br 0.111 0.500 0.484
Br2 Br 0.268 0.500 0.123
```

total energy	-5.5791	eV/atom
energy relative to the elements, uncorrected	-163	meV/atom
ρ	6252	kg/m3
energy above the most stable polymorph in this dataset	0.3170	eV/atom



Number 1: magnetic moment 0.000 μB/atom. Number 2: magnetic moment 0.000 μB/atom. Number 3: magnetic moment 0.000 μB/atom. Number 4: magnetic moment 0.034 μB/atom. Number 5: magnetic moment 0.001 μB/atom. Number 6: magnetic moment 0.000 μB/atom.